{"formula": "CeNiBiRh", "functional": "PBE", "state": "relaxed", "crystal_system": "cubic", "magmom_total_mub_per_cell": 0.2, "delta_e_f_kj_per_mol_fu": -144, "space_group": "F-43m (216)", "cell": [[0.000, 3.406, 3.406], [3.406, 0.000, 3.406], [3.406, 3.406, 0.000]], "species": ["Ce", "Ni", "Bi", "Rh"], "fractional_positions": [[0.000, 0.000, 0.000], [0.750, 0.750, 0.750], [0.500, 0.500, 0.500], [0.250, 0.250, 0.250]]}


{"formula": "CeNiBiS4", "functional": "PBE", "state": "relaxed", "crystal_system": "monoclinic", "magmom_total_mub_per_cell": 0.5, "raw_formation_energy_kj_per_mol_atoms": -85.12, "space_group": "P2_1/m (11)", "cell": [[6.664, 0.000, 0.000], [0.000, 5.680, 0.000], [-2.224, 0.000, 7.649]], "species": ["Ce", "Ce", "Ni", "Ni", "Bi", "Bi", "S", "S", "S", "S", "S", "S", "S", "S"], "fractional_positions": [[0.244, 0.250, 0.444], [0.756, 0.750, 0.556], [0.269, 0.750, 0.660], [0.731, 0.250, 0.340], [0.215, 0.250, 0.955], [0.785, 0.750, 0.045], [0.074, 0.750, 0.391], [0.086, 0.750, 0.875], [0.487, 0.507, 0.254], [0.487, 0.993, 0.254], [0.513, 0.007, 0.746], [0.513, 0.493, 0.746], [0.914, 0.250, 0.125], [0.926, 0.250, 0.609]]}


{"formula": "Ce4Ni4Bi3Sb5", "functional": "PBE", "state": "relaxed", "crystal_system": "tetragonal", "magmom_total_mub_per_cell": 0.1, "raw_formation_energy_kj_per_mol_atoms": -64.59, "space_group": "P-4m2 (115)", "cell": [[4.456, 0.000, 0.000], [0.000, 4.456, 0.000], [0.000, 0.000, 19.149]], "species": ["Ce", "Ce", "Ce", "Ce", "Ni", "Ni", "Ni", "Ni", "Bi", "Bi", "Bi", "Sb", "Sb", "Sb", "Sb", "Sb"], "fractional_positions": [[0.000, 0.500, 0.136], [0.000, 0.500, 0.640], [0.500, 0.000, 0.360], [0.500, 0.000, 0.864], [0.000, 0.000, 0.248], [0.000, 0.000, 0.752], [0.500, 0.500, 0.249], [0.500, 0.500, 0.751], [0.000, 0.000, 0.000], [0.000, 0.000, 0.500], [0.500, 0.500, 0.500], [0.000, 0.500, 0.319], [0.000, 0.500, 0.822], [0.500, 0.000, 0.178], [0.500, 0.000, 0.681], [0.500, 0.500, 0.000]]}


{"formula": "CeNpBi2O8", "functional": "PBE", "state": "relaxed", "crystal_system": "triclinic", "magmom_total_mub_per_cell": 1.2, "raw_formation_energy_kj_per_mol_atoms": -218.75, "space_group": "P-1 (2)", "cell": [[3.891, 0.000, 0.000], [0.346, 5.625, 0.000], [0.111, 0.433, 7.754]], "species": ["Ce", "Np", "Bi", "Bi", "O", "O", "O", "O", "O", "O", "O", "O"], "fractional_positions": [[0.000, 0.000, 0.000], [0.000, 0.000, 0.500], [0.498, 0.521, 0.246], [0.502, 0.479, 0.754], [0.024, 0.261, 0.754], [0.026, 0.197, 0.279], [0.459, 0.781, 0.479], [0.491, 0.760, 0.993], [0.509, 0.240, 0.007], [0.541, 0.219, 0.521], [0.974, 0.803, 0.721], [0.976, 0.739, 0.246]]}


{"formula": "CeNpBiO6", "functional": "PBE", "state": "relaxed", "crystal_system": "trigonal", "magmom_total_mub_per_cell": 4.1, "raw_formation_energy_kj_per_mol_atoms": -243.30, "space_group": "P-31c (163)", "cell": [[5.942, 0.000, 0.000], [-2.971, 5.146, 0.000], [0.000, 0.000, 9.397]], "species": ["Ce", "Ce", "Np", "Np", "Bi", "Bi", "O", "O", "O", "O", "O", "O", "O", "O", "O", "O", "O", "O"], "fractional_positions": [[0.333, 0.667, 0.250], [0.667, 0.333, 0.750], [0.333, 0.667, 0.750], [0.667, 0.333, 0.250], [0.000, 0.000, 0.000], [0.000, 0.000, 0.500], [0.022, 0.360, 0.636], [0.022, 0.662, 0.864], [0.338, 0.360, 0.864], [0.338, 0.978, 0.636], [0.360, 0.022, 0.136], [0.360, 0.338, 0.364], [0.640, 0.662, 0.636], [0.640, 0.978, 0.864], [0.662, 0.022, 0.364], [0.662, 0.640, 0.136], [0.978, 0.338, 0.136], [0.978, 0.640, 0.364]]}


{"formula": "Ce3Bi2O", "functional": "PBE", "state": "relaxed", "e_above_lowest_polymorph_ev_per_fu": 0.00, "crystal_system": "orthorhombic", "magmom_total_mub_per_cell": 15.7, "raw_formation_energy_kj_per_mol_atoms": -133.35, "space_group": "Pnma (62)", "cell": [[8.087, 0.000, 0.000], [0.000, 4.175, 0.000], [0.000, 0.000, 19.757]], "species": ["Ce", "Ce", "Ce", "Ce", "Ce", "Ce", "Ce", "Ce", "Ce", "Ce", "Ce", "Ce", "Bi", "Bi", "Bi", "Bi", "Bi", "Bi", "Bi", "Bi", "O", "O", "O", "O"], "fractional_positions": [[0.037, 0.250, 0.174], [0.111, 0.250, 0.347], [0.170, 0.250, 0.537], [0.330, 0.750, 0.037], [0.389, 0.750, 0.847], [0.463, 0.750, 0.674], [0.537, 0.250, 0.326], [0.611, 0.250, 0.153], [0.670, 0.250, 0.963], [0.830, 0.750, 0.463], [0.889, 0.750, 0.653], [0.963, 0.750, 0.826], [0.127, 0.250, 0.933], [0.170, 0.250, 0.719], [0.330, 0.750, 0.219], [0.373, 0.750, 0.433], [0.627, 0.250, 0.567], [0.670, 0.250, 0.781], [0.830, 0.750, 0.281], [0.873, 0.750, 0.067], [0.022, 0.750, 0.553], [0.478, 0.250, 0.053], [0.522, 0.750, 0.947], [0.978, 0.250, 0.447]]}


{"formula": "Ce2Bi2O", "functional": "PBE", "state": "relaxed", "crystal_system": "monoclinic", "magmom_total_mub_per_cell": 2.5, "raw_formation_energy_kj_per_mol_atoms": -150.54, "space_group": "C2/m (12)", "cell": [[6.560, -2.101, 0.000], [6.560, 2.101, 0.000], [-5.954, 0.000, 9.839]], "species": ["Ce", "Ce", "Ce", "Ce", "Bi", "Bi", "Bi", "Bi", "O", "O"], "fractional_positions": [[0.117, 0.117, 0.425], [0.327, 0.327, 0.819], [0.673, 0.673, 0.181], [0.883, 0.883, 0.575], [0.062, 0.062, 0.913], [0.388, 0.388, 0.329], [0.612, 0.612, 0.671], [0.938, 0.938, 0.087], [0.313, 0.313, 0.610], [0.687, 0.687, 0.390]]}


{"formula": "CeBiO", "functional": "PBE", "state": "relaxed", "e_above_lowest_polymorph_ev_per_fu": 0.00, "crystal_system": "tetragonal", "magmom_total_mub_per_cell": 2.0, "raw_formation_energy_kj_per_mol_atoms": -201.70, "space_group": "P4/nmm (129)", "cell": [[4.157, 0.000, 0.000], [0.000, 4.157, 0.000], [0.000, 0.000, 7.889]], "species": ["Ce", "Ce", "Bi", "Bi", "O", "O"], "fractional_positions": [[0.250, 0.250, 0.144], [0.750, 0.750, 0.856], [0.250, 0.250, 0.589], [0.750, 0.750, 0.411], [0.250, 0.750, 0.000], [0.750, 0.250, 0.000]]}


{"formula": "Ce3Bi5O12", "functional": "PBE", "state": "relaxed", "crystal_system": "cubic", "magmom_total_mub_per_cell": 12.2, "raw_formation_energy_kj_per_mol_atoms": -176.41, "space_group": "Ia-3d (230)", "cell": [[-7.016, 7.016, 7.016], [7.016, -7.016, 7.016], [7.016, 7.016, -7.016]], "species": ["Ce", "Ce", "Ce", "Ce", "Ce", "Ce", "Ce", "Ce", "Ce", "Ce", "Ce", "Ce", "Bi", "Bi", "Bi", "Bi", "Bi", "Bi", "Bi", "Bi", "Bi", "Bi", "Bi", "Bi", "Bi", "Bi", "Bi", "Bi", "Bi", "Bi", "Bi", "Bi", "O", "O", "O", "O", "O", "O", "O", "O", "O", "O", "O", "O", "O", "O", "O", "O", "O", "O", "O", "O", "O", "O", "O", "O", "O", "O", "O", "O", "O", "O", "O", "O", "O", "O", "O", "O", "O", "O", "O", "O", "O", "O", "O", "O", "O", "O", "O", "O"], "fractional_positions": [[0.125, 0.250, 0.375], [0.125, 0.375, 0.750], [0.250, 0.375, 0.125], [0.250, 0.875, 0.625], [0.375, 0.125, 0.250], [0.375, 0.750, 0.125], [0.625, 0.250, 0.875], [0.625, 0.875, 0.750], [0.750, 0.125, 0.375], [0.750, 0.625, 0.875], [0.875, 0.625, 0.250], [0.875, 0.750, 0.625], [0.000, 0.000, 0.000], [0.000, 0.000, 0.500], [0.000, 0.500, 0.000], [0.000, 0.500, 0.500], [0.125, 0.750, 0.875], [0.125, 0.875, 0.250], [0.250, 0.125, 0.875], [0.250, 0.625, 0.375], [0.375, 0.250, 0.625], [0.375, 0.625, 0.750], [0.500, 0.000, 0.000], [0.500, 0.000, 0.500], [0.500, 0.500, 0.000], [0.500, 0.500, 0.500], [0.625, 0.375, 0.250], [0.625, 0.750, 0.375], [0.750, 0.375, 0.625], [0.750, 0.875, 0.125], [0.875, 0.125, 0.750], [0.875, 0.250, 0.125], [0.052, 0.224, 0.135], [0.052, 0.328, 0.916], [0.084, 0.635, 0.411], [0.084, 0.948, 0.672], [0.089, 0.724, 0.672], [0.089, 0.865, 0.416], [0.135, 0.052, 0.224], [0.135, 0.584, 0.911], [0.172, 0.224, 0.589], [0.172, 0.448, 0.584], [0.224, 0.135, 0.052], [0.224, 0.589, 0.172], [0.276, 0.328, 0.911], [0.276, 0.448, 0.365], [0.328, 0.911, 0.276], [0.328, 0.916, 0.052], [0.365, 0.276, 0.448], [0.365, 0.589, 0.916], [0.411, 0.084, 0.635], [0.411, 0.828, 0.776], [0.416, 0.089, 0.865], [0.416, 0.828, 0.552], [0.448, 0.365, 0.276], [0.448, 0.584, 0.172], [0.552, 0.416, 0.828], [0.552, 0.635, 0.724], [0.584, 0.172, 0.448], [0.584, 0.911, 0.135], [0.589, 0.172, 0.224], [0.589, 0.916, 0.365], [0.635, 0.411, 0.084], [0.635, 0.724, 0.552], [0.672, 0.084, 0.948], [0.672, 0.089, 0.724], [0.724, 0.552, 0.635], [0.724, 0.672, 0.089], [0.776, 0.411, 0.828], [0.776, 0.865, 0.948], [0.828, 0.552, 0.416], [0.828, 0.776, 0.411], [0.865, 0.416, 0.089], [0.865, 0.948, 0.776], [0.911, 0.135, 0.584], [0.911, 0.276, 0.328], [0.916, 0.052, 0.328], [0.916, 0.365, 0.589], [0.948, 0.672, 0.084], [0.948, 0.776, 0.865]]}


{"formula": "CeBiO", "functional": "PBE", "state": "relaxed", "e_above_lowest_polymorph_ev_per_fu": 0.48, "crystal_system": "hexagonal", "magmom_total_mub_per_cell": 0.5, "raw_formation_energy_kj_per_mol_atoms": -186.26, "space_group": "P-6m2 (187)", "cell": [[3.840, 0.000, 0.000], [-1.920, 3.326, 0.000], [0.000, 0.000, 5.729]], "species": ["Ce", "Bi", "O"], "fractional_positions": [[0.000, 0.000, 0.000], [0.333, 0.667, 0.500], [0.667, 0.333, 0.000]]}


{"formula": "Ce4Bi3O2", "functional": "PBE", "state": "relaxed", "e_above_lowest_polymorph_ev_per_fu": 0.33, "crystal_system": "monoclinic", "magmom_total_mub_per_cell": 3.0, "raw_formation_energy_kj_per_mol_atoms": -161.68, "space_group": "C2/m (12)", "cell": [[8.274, -2.093, 0.000], [8.274, 2.093, 0.000], [-3.145, 0.000, 7.020]], "species": ["Ce", "Ce", "Ce", "Ce", "Bi", "Bi", "Bi", "O", "O"], "fractional_positions": [[0.042, 0.042, 0.241], [0.283, 0.283, 0.340], [0.717, 0.717, 0.660], [0.958, 0.958, 0.759], [0.367, 0.367, 0.971], [0.500, 0.500, 0.500], [0.633, 0.633, 0.029], [0.183, 0.183, 0.486], [0.817, 0.817, 0.514]]}


{"formula": "Ce3BiO3", "functional": "PBE", "state": "relaxed", "e_above_lowest_polymorph_ev_per_fu": 0.07, "crystal_system": "trigonal", "magmom_total_mub_per_cell": 6.0, "raw_formation_energy_kj_per_mol_atoms": -247.06, "space_group": "R-3 (148)", "cell": [[3.453, 1.993, 7.724], [-3.453, 1.993, 7.724], [0.000, -3.987, 7.724]], "species": ["Ce", "Ce", "Ce", "Ce", "Ce", "Ce", "Bi", "Bi", "O", "O", "O", "O", "O", "O"], "fractional_positions": [[0.054, 0.738, 0.398], [0.262, 0.602, 0.946], [0.398, 0.054, 0.738], [0.602, 0.946, 0.262], [0.738, 0.398, 0.054], [0.946, 0.262, 0.602], [0.167, 0.167, 0.167], [0.833, 0.833, 0.833], [0.046, 0.370, 0.701], [0.299, 0.954, 0.630], [0.370, 0.701, 0.046], [0.630, 0.299, 0.954], [0.701, 0.046, 0.370], [0.954, 0.630, 0.299]]}


{"formula": "CeBi6O12", "functional": "PBE", "state": "relaxed", "crystal_system": "trigonal", "magmom_total_mub_per_cell": 0.0, "raw_formation_energy_kj_per_mol_atoms": -140.19, "space_group": "R-3 (148)", "cell": [[5.219, 3.013, 3.240], [-5.219, 3.013, 3.240], [0.000, -6.026, 3.240]], "species": ["Ce", "Bi", "Bi", "Bi", "Bi", "Bi", "Bi", "O", "O", "O", "O", "O", "O", "O", "O", "O", "O", "O", "O"], "fractional_positions": [[0.000, 0.000, 0.000], [0.137, 0.595, 0.306], [0.306, 0.137, 0.595], [0.405, 0.694, 0.863], [0.595, 0.306, 0.137], [0.694, 0.863, 0.405], [0.863, 0.405, 0.694], [0.053, 0.683, 0.910], [0.090, 0.947, 0.317], [0.177, 0.424, 0.564], [0.317, 0.090, 0.947], [0.424, 0.564, 0.177], [0.436, 0.823, 0.576], [0.564, 0.177, 0.424], [0.576, 0.436, 0.823], [0.683, 0.910, 0.053], [0.823, 0.576, 0.436], [0.910, 0.053, 0.683], [0.947, 0.317, 0.090]]}


{"formula": "Ce4Bi3O2", "functional": "PBE", "state": "relaxed", "e_above_lowest_polymorph_ev_per_fu": 0.00, "crystal_system": "monoclinic", "magmom_total_mub_per_cell": 3.0, "raw_formation_energy_kj_per_mol_atoms": -165.21, "space_group": "C2/m (12)", "cell": [[6.926, -2.134, 0.000], [6.926, 2.134, 0.000], [-4.761, 0.000, 8.118]], "species": ["Ce", "Ce", "Ce", "Ce", "Bi", "Bi", "Bi", "O", "O"], "fractional_positions": [[0.119, 0.119, 0.410], [0.306, 0.306, 0.868], [0.694, 0.694, 0.132], [0.881, 0.881, 0.590], [0.000, 0.000, 0.000], [0.394, 0.394, 0.290], [0.606, 0.606, 0.710], [0.305, 0.305, 0.626], [0.695, 0.695, 0.374]]}


{"formula": "Ce3BiO2", "functional": "PBE", "state": "relaxed", "crystal_system": "tetragonal", "magmom_total_mub_per_cell": 4.1, "raw_formation_energy_kj_per_mol_atoms": -200.53, "space_group": "I4/mmm (139)", "cell": [[-2.383, 2.383, 5.873], [2.383, -2.383, 5.873], [2.383, 2.383, -5.873]], "species": ["Ce", "Ce", "Ce", "Bi", "O", "O"], "fractional_positions": [[0.000, 0.000, 0.000], [0.250, 0.750, 0.500], [0.750, 0.250, 0.500], [0.500, 0.500, 0.000], [0.205, 0.205, 0.000], [0.795, 0.795, 0.000]]}


{"formula": "Ce6BiO12", "functional": "PBE", "state": "relaxed", "crystal_system": "trigonal", "magmom_total_mub_per_cell": 3.2, "raw_formation_energy_kj_per_mol_atoms": -305.29, "space_group": "R-3 (148)", "cell": [[5.197, 3.001, 3.188], [-5.197, 3.001, 3.188], [0.000, -6.001, 3.188]], "species": ["Ce", "Ce", "Ce", "Ce", "Ce", "Ce", "Bi", "O", "O", "O", "O", "O", "O", "O", "O", "O", "O", "O", "O"], "fractional_positions": [[0.099, 0.638, 0.799], [0.201, 0.901, 0.362], [0.362, 0.201, 0.901], [0.638, 0.799, 0.099], [0.799, 0.099, 0.638], [0.901, 0.362, 0.201], [0.500, 0.500, 0.500], [0.067, 0.322, 0.920], [0.080, 0.933, 0.678], [0.172, 0.577, 0.430], [0.322, 0.920, 0.067], [0.423, 0.570, 0.828], [0.430, 0.172, 0.577], [0.570, 0.828, 0.423], [0.577, 0.430, 0.172], [0.678, 0.080, 0.933], [0.828, 0.423, 0.570], [0.920, 0.067, 0.322], [0.933, 0.678, 0.080]]}


{"formula": "Ce3BiO3", "functional": "PBE", "state": "relaxed", "e_above_lowest_polymorph_ev_per_fu": 0.00, "crystal_system": "cubic", "magmom_total_mub_per_cell": 6.0, "raw_formation_energy_kj_per_mol_atoms": -247.95, "space_group": "Pm-3n (223)", "cell": [[6.658, 0.000, 0.000], [0.000, 6.658, 0.000], [0.000, 0.000, 6.658]], "species": ["Ce", "Ce", "Ce", "Ce", "Ce", "Ce", "Bi", "Bi", "O", "O", "O", "O", "O", "O"], "fractional_positions": [[0.000, 0.250, 0.500], [0.000, 0.750, 0.500], [0.250, 0.500, 0.000], [0.500, 0.000, 0.250], [0.500, 0.000, 0.750], [0.750, 0.500, 0.000], [0.000, 0.000, 0.000], [0.500, 0.500, 0.500], [0.000, 0.500, 0.250], [0.000, 0.500, 0.750], [0.250, 0.000, 0.500], [0.500, 0.250, 0.000], [0.500, 0.750, 0.000], [0.750, 0.000, 0.500]]}